[1]
The following is a DFT calculation (PBE) of a relaxed Ba11Os4O24 crystal.

Lattice parameters (Å, degrees): 12.422 12.422 16.961 90.00 90.00 90.00
Space group I4_1/a (No. 88, origin choice 2)
Asymmetric unit:
Ba1 0.000 0.250 0.125 [4 per cell]
Ba2 0.000 0.250 0.361 [8 per cell]
Ba3 0.027 0.458 0.718 [16 per cell]
Ba4 0.207 0.486 0.136 [16 per cell]
Os1 0.000 0.000 0.000 [8 per cell]
Os2 0.000 0.000 0.500 [8 per cell]
O1 0.011 0.014 0.113 [16 per cell]
O2 0.075 0.074 0.583 [16 per cell]
O3 0.093 0.380 0.480 [16 per cell]
O4 0.099 0.061 0.425 [16 per cell]
O5 0.111 0.391 0.001 [16 per cell]
O6 0.113 0.114 0.987 [16 per cell]

Computed properties:
E_tot: -6.8480 eV/atom
Raw formation energy: -2.1027 eV/atom



[2]
The following is a DFT calculation (PBE) of a relaxed Sr4P crystal.

Lattice parameters (Å, degrees): 14.428 14.863 8.657 90.00 90.00 90.00
Space group Fdd2 (No. 43)
Asymmetric unit:
Sr1 0.120 0.084 0.000 [16 per cell]
Sr2 0.121 0.087 0.494 [16 per cell]
P1 0.000 0.000 0.244 [8 per cell]

Computed properties:
E_tot: -2.8945 eV/atom
DFT formation energy: -467 meV per atom
Distance to the lowest polymorph of the same formula: 0.0 meV per atom



[3]
The following is a DFT calculation (PBE) of a relaxed CePd4Pt crystal.

Lattice parameters (Å, degrees): 7.514 7.514 7.514 90.00 90.00 90.00
Space group F-43m (No. 216)
Asymmetric unit:
Ce1 0.000 0.000 0.000 [4 per cell]
Pd1 0.125 0.125 0.375 [16 per cell]
Pt1 0.250 0.250 0.750 [4 per cell]

Computed properties:
E_tot: -5.9602 eV/atom
DFT formation energy: -503 meV per atom
Distance to the lowest polymorph of the same formula: 81.9 meV per atom



| no. | magnetization (μB/atom) |
| --- | --- |
| 1 | 0.155 |
| 2 | 0.002 |
| 3 | 0.000 |